Record 1
Crystalline Sr3FeIr at its relaxed geometry, computed with GGA-PBE.

The value obtained for the total energy is -4.002 eV/atom.

The structure belongs to space group Pm-3m (No. 221); the cell edges are 5.771, 5.771 and 5.771 Å and the angles 90.00°, 90.00° and 90.00°. The inequivalent atoms are Sr at (0.000, 0.000, 0.500), Fe at (0.500, 0.500, 0.500) and Ir at (0.000, 0.000, 0.000).

Record 2
Crystalline SrFeIr2 at its relaxed geometry, computed with GGA-PBE.

The value obtained for the total energy is -6.575 eV/atom.

The structure belongs to space group Immm (No. 71); the cell edges are 2.884, 4.936 and 9.752 Å and the angles 90.00°, 90.00° and 90.00°. The inequivalent atoms are Sr at (0.000, 0.000, 0.000), Fe at (0.000, 0.000, 0.500) and Ir at (0.000, 0.500, 0.217).

Record 3
Crystalline SrFe2Ir at its relaxed geometry, computed with GGA-PBE.

The value obtained for the total energy is -6.324 eV/atom.

The structure belongs to space group Imm2 (No. 44); the cell edges are 2.903, 4.934 and 9.697 Å and the angles 90.00°, 90.00° and 90.00°. The inequivalent atoms are Sr at (0.000, 0.000, 0.000), Fe at (0.000, 0.000, 0.497), Fe at (0.000, 0.500, 0.790) and Ir at (0.000, 0.500, 0.212).

Record 4
Crystalline SrFe2Ir at its relaxed geometry, computed with GGA-PBE.

The value obtained for the total energy is -6.191 eV/atom.

The structure belongs to space group I-4m2 (No. 119); the cell edges are 4.643, 4.643 and 6.524 Å and the angles 90.00°, 90.00° and 90.00°. The inequivalent atoms are Sr at (0.000, 0.000, 0.000), Fe at (0.000, 0.000, 0.500), Fe at (0.000, 0.500, 0.250) and Ir at (0.000, 0.500, 0.750).